# Zr2Be2VRu5 GGA-PBE optimized geometry
data_Zr2Be2VRu5
_chemical_formula_sum 'Zr4 Be4 V2 Ru10'
_cell_length_a 9.4284
_cell_length_b 9.4284
_cell_length_c 3.1578
_cell_angle_alpha 90.00
_cell_angle_beta 90.00
_cell_angle_gamma 90.00
_space_group_name_H-M_alt 'P 4/m b m'
_space_group_IT_number 127
_space_group_name_Hall '-P 4 2ab'
loop_
_atom_site_label
_atom_site_type_symbol
_atom_site_fract_x
_atom_site_fract_y
_atom_site_fract_z
_atom_site_occupancy
Zr1 Zr 0.1732 0.3268 0.0000 1
Be1 Be 0.1240 0.6240 0.0000 1
V1 V 0.0000 0.0000 0.0000 1
Ru1 Ru 0.0000 0.5000 0.5000 1
Ru2 Ru 0.0703 0.7951 0.5000 1
# Calculated total energy, eV per cell: -169.80
# Formation energy from the elements, eV per atom: -0.485
# DOS(E_F), states/eV per atom: 0.746

***

# Ce7InSn3 GGA-PBE optimized geometry
data_Ce7InSn3
_chemical_formula_sum 'Ce14 In2 Sn6'
_cell_length_a 6.0430
_cell_length_b 9.2251
_cell_length_c 12.0863
_cell_angle_alpha 90.00
_cell_angle_beta 90.00
_cell_angle_gamma 90.00
_space_group_name_H-M_alt 'I m m m'
_space_group_IT_number 71
_space_group_name_Hall '-I 2 2'
loop_
_atom_site_label
_atom_site_type_symbol
_atom_site_fract_x
_atom_site_fract_y
_atom_site_fract_z
_atom_site_occupancy
Ce1 Ce 0.0000 0.0000 0.0000 1
Ce2 Ce 0.0000 0.1511 0.5000 1
Ce3 Ce 0.0000 0.3534 0.2422 1
In1 In 0.0000 0.5000 0.5000 1
Sn1 Sn 0.0000 0.0000 0.2605 1
Sn2 Sn 0.0000 0.5000 0.0000 1
# Calculated total energy, eV per cell: -119.61
# Formation energy from the elements, eV per atom: -0.320
# DOS(E_F), states/eV per atom: 3.040

***

- The highest formation energy from the elements belongs to which entry?
  Ce7InSn3

***

- The lowest DOS(E_F) belongs to which entry?
  Zr2Be2VRu5

***

- Which value of formation energy from the elements does entry 2 give?
  -0.320 eV per atom